This record from the Alexandria database describes crystalline CaIrOs2 at its relaxed geometry. The functional is PBE-GGA.

a b c (Å): 9.714 9.714 9.714
angles (deg): 16.54 16.54 16.54
Fractional coordinates of all 4 atoms:
Os 0.493 0.493 0.493
Os 0.007 0.007 0.007
Ca 0.250 0.250 0.250
Ir 0.750 0.750 0.750

## Properties
- Crystal system: trigonal
- Energy above the most stable polymorph in this dataset: 345.0 meV/atom